Density functional theory data (PBE-GGA) for crystalline NaTl2Sb2 at its relaxed geometry.

Unit cell a=6.2249 b=6.2249 c=6.2249 alpha=128.77 beta=116.59 gamma=85.77
Atoms (fractional coordinates):
Na 0.0000 0.0000 0.0000
Tl 0.3074 0.8074 0.5000
Tl 0.6926 0.1926 0.5000
Sb 0.2824 0.5000 0.7824
Sb 0.7176 0.5000 0.2176

Computed properties:
DOS at the Fermi energy   0.355 states/eV/atom
E   -14.80 eV/cell
Calculated volume   160.63 Å³ per cell
Energy relative to the elements, uncorrected   -0.50 eV per formula unit